First-principles (PBE) data for crystalline Ba2UBe2As4 at its relaxed geometry, as listed in the Alexandria database.

The structure in CIF format:
```
data_Ba2UBe2As4
_space_group_name_H-M_alt 'C 1 2/m 1'
_space_group_IT_number 12
_cell_length_a 15.1716
_cell_length_b 4.1129
_cell_length_c 7.6346
_cell_angle_alpha 90.00
_cell_angle_beta 110.37
_cell_angle_gamma 90.00
loop_
_space_group_symop_operation_xyz
'x,y,z'
'-x,-y,-z'
'-x,y,-z'
'x,-y,z'
'x+1/2,y+1/2,z'
'-x+1/2,-y+1/2,-z'
'-x+1/2,y+1/2,-z'
'x+1/2,-y+1/2,z'
loop_
_atom_site_label
_atom_site_fract_x
_atom_site_fract_y
_atom_site_fract_z
_atom_site_occupancy
Ba1 0.1369 0.0000 0.0794 1
U1 0.0000 0.0000 0.5000 1
Be1 0.1706 0.5000 0.4774 1
As1 0.0201 0.5000 0.2571 1
As2 0.2028 0.0000 0.6510 1
```

Values from the calculation:
* energy of formation: -0.735 eV per atom
* final energy: -5.311 eV/atom